## Sm2Ho2S3 (PBE)

Data for a relaxed structure of Sm2Ho2S3.

Cell lengths 3.872, 6.740, 6.818 Å; angles 99.09, 90.01, 106.65 degrees
Sites, in units of the cell vectors:
S1 0.250 0.500 0.759
S2 0.750 0.500 0.241
S3 0.000 0.000 0.000
Sm1 0.125 0.249 0.381
Sm2 0.875 0.751 0.619
Ho1 0.628 0.255 0.883
Ho2 0.372 0.745 0.117

Output
Crystal system: triclinic
Electronic total energy (eV per atom): -6.137
Size of the total moment (μB per formula unit): 0.0
Raw formation energy (meV per atom): -1712